[1]
A geometry-optimized PrPa2Al structure. Source: the Alexandria database, functional PBE-GGA.

a b c (Å): 11.8606 11.8606 11.8606
angles (deg): 15.36 15.36 15.36
With the nearest neighbours (Å) after each atom.
Fractional coordinates of all 4 atoms:
Pr  0.0000  0.0000  0.0000  6 Pr 3.17, 2 Pa 3.29
Pa  0.0935  0.0935  0.0935  3 Al 3.16, 6 Pa 3.17, 1 Pr 3.29
Pa  0.9065  0.9065  0.9065  3 Al 3.16, 6 Pa 3.17, 1 Pr 3.29
Al  0.5000  0.5000  0.5000  6 Pa 3.16, 6 Al 3.17

- space-group type = R-3m
- offset from the most stable computed form (kJ per mole of atoms) = 14.88
- E_form (meV/atom) = 235

---

[2]
A geometry-optimized K2OsClO structure. Source: the Alexandria database, functional PBE-GGA.

a b c (Å): 5.8801 5.8801 3.7500
angles (deg): 90.00 90.00 90.00
With the nearest neighbours (Å) after each atom.
Fractional coordinates of all 5 atoms:
K  0.0000  0.5000  0.0000  2 O 2.94
K  0.5000  0.0000  0.0000  2 O 2.94
Os  0.0000  0.0000  0.5000  2 O 1.87
Cl  0.5000  0.5000  0.5000  8 K 3.49, 2 Cl 3.75
O  0.0000  0.0000  0.0000  2 Os 1.87

- space-group type = P4/mmm
- uncorrected formation energy (eV/atom) = -0.698

---

[3]
A geometry-optimized SmSc2CdPt2 structure. Source: the Alexandria database, functional PBE-GGA.

a b c (Å): 4.7516 4.7516 6.5103
angles (deg): 90.00 90.00 120.00
With the nearest neighbours (Å) after each atom.
Fractional coordinates of all 6 atoms:
Sm  0.0000  0.0000  0.0000  6 Pt 3.19, 2 Cd 3.26, 6 Sc 3.48
Sc  0.3333  0.6667  0.6711  4 Pt 2.74-2.79, 3 Cd 2.96
Sc  0.6667  0.3333  0.3289  4 Pt 2.74-2.79, 3 Cd 2.96
Cd  0.0000  0.0000  0.5000  6 Sc 2.96, 6 Pt 3.19, 2 Sm 3.26
Pt  0.3333  0.6667  0.2504  4 Sc 2.74-2.79
Pt  0.6667  0.3333  0.7496  4 Sc 2.74-2.79

- space-group type = P-3m1
- E_form (meV/atom) = -927

---

[4]
A geometry-optimized Ca3Mg2Hg4 structure. Source: the Alexandria database, functional PBE-GGA.

a b c (Å): 6.3730 6.3730 9.3571
angles (deg): 114.96 114.96 44.91
With the nearest neighbours (Å) after each atom.
Fractional coordinates of all 9 atoms:
Ca  0.0000  0.0000  0.0000  8 Hg 3.38-3.67, 4 Mg 3.75
Ca  0.3597  0.3597  0.3059  7 Hg 3.19-3.50, 4 Mg 3.46-3.48
Ca  0.6403  0.6403  0.6941  7 Hg 3.19-3.50, 4 Mg 3.46-3.48
Mg  0.3363  0.3363  0.6631  4 Hg 2.83-2.99
Mg  0.6637  0.6637  0.3369  4 Hg 2.83-2.99
Hg  0.0694  0.0694  0.3971  3 Mg 2.84-2.99, 1 Hg 3.04
Hg  0.2817  0.2817  0.9280  1 Mg 2.83, 2 Hg 3.04
Hg  0.7183  0.7183  0.0720  1 Mg 2.83, 2 Hg 3.04
Hg  0.9306  0.9306  0.6029  3 Mg 2.84-2.99, 1 Hg 3.04

- space-group type = C2/m
- E_form (meV/atom) = -412

---

[5]
A geometry-optimized Nd3P4Pt4 structure. Source: the Alexandria database, functional PBE-GGA.

a b c (Å): 4.1323 4.1932 12.5272
angles (deg): 99.59 99.49 90.02
With the nearest neighbours (Å) after each atom.
Fractional coordinates of all 11 atoms:
Nd  0.0000  0.0000  0.0000  4 Pt 3.10-3.11, 8 P 3.16-3.17
Nd  0.3520  0.8527  0.7035  6 P 3.10-3.23, 8 Pt 3.10-3.34
Nd  0.6480  0.1473  0.2965  6 P 3.10-3.23, 8 Pt 3.10-3.34
P  0.1908  0.6810  0.3819  5 Pt 2.36-2.63
P  0.4524  0.4509  0.9045  1 P 2.33, 2 Pt 2.35
P  0.5476  0.5491  0.0955  1 P 2.33, 2 Pt 2.35
P  0.8092  0.3190  0.6181  5 Pt 2.36-2.63
Pt  0.0937  0.5941  0.1881  3 P 2.35-2.36
Pt  0.2564  0.2446  0.5119  4 P 2.44-2.63
Pt  0.7436  0.7554  0.4881  4 P 2.44-2.63
Pt  0.9063  0.4059  0.8119  3 P 2.35-2.36

- space-group type = P-1
- E_form (meV/atom) = -1151

---

[6]
A geometry-optimized BaCaGaPt structure. Source: the Alexandria database, functional PBE-GGA.

a b c (Å): 4.4894 6.5697 6.5697
angles (deg): 39.10 90.00 90.00
With the nearest neighbours (Å) after each atom.
Fractional coordinates of all 4 atoms:
Ba  0.0000  0.0000  0.0000  3 Ga 3.43-3.56, 4 Pt 3.45
Ca  0.5000  0.2722  0.2722  2 Pt 2.93, 4 Ga 3.23
Ga  0.0000  0.7128  0.7128  2 Pt 2.55
Pt  0.5000  0.6153  0.6153  2 Ga 2.55

- space-group type = Amm2
- E_form (meV/atom) = -656

---

[7]
A geometry-optimized Te4Mo3WS4 structure. Source: the Alexandria database, functional PBE-GGA.

a b c (Å): 3.3566 3.3566 36.1608
angles (deg): 90.00 90.00 120.00
With the nearest neighbours (Å) after each atom.
Fractional coordinates of all 12 atoms:
Te  0.0000  0.0000  0.0000  3 Mo 2.71
Te  0.0000  0.0000  0.1047  3 Mo 2.71
Te  0.0000  0.0000  0.4013  3 Mo 2.71
Te  0.0000  0.0000  0.5060  3 Mo 2.71
Mo  0.0000  0.0000  0.2529  6 S 2.46
Mo  0.6667  0.3333  0.0523  6 Te 2.71
Mo  0.6667  0.3333  0.4537  6 Te 2.71
W  0.0000  0.0000  0.6565  6 S 2.46
S  0.6667  0.3333  0.2111  3 Mo 2.46
S  0.6667  0.3333  0.2948  3 Mo 2.46
S  0.6667  0.3333  0.6145  3 W 2.46
S  0.6667  0.3333  0.6984  3 W 2.46

- space-group type = P3m1
- offset from the most stable computed form (kJ per mole of atoms) = 0.13
- uncorrected formation energy (eV/atom) = -0.485

---

[8]
A geometry-optimized BaFeW3 structure. Source: the Alexandria database, functional PBE-GGA.

a b c (Å): 4.9116 4.9116 4.9116
angles (deg): 90.00 90.00 90.00
With the nearest neighbours (Å) after each atom.
Fractional coordinates of all 5 atoms:
Ba  0.0000  0.0000  0.0000  6 W 2.46
Fe  0.5000  0.5000  0.5000  12 W 3.47
W  0.0000  0.0000  0.5000  2 Ba 2.46
W  0.0000  0.5000  0.0000  2 Ba 2.46
W  0.5000  0.0000  0.0000  2 Ba 2.46

- space-group type = Pm-3m
- offset from the most stable computed form (kJ per mole of atoms) = 262.01
- E_form (meV/atom) = 4279

---

[9]
A geometry-optimized CeNd2UN4 structure. Source: the Alexandria database, functional PBE-GGA.

a b c (Å): 6.1510 6.1510 6.1510
angles (deg): 131.29 131.29 71.35
With the nearest neighbours (Å) after each atom.
Fractional coordinates of all 8 atoms:
Ce  0.0000  0.0000  0.0000  6 N 2.43-2.55
Nd  0.5000  0.5000  0.0000  6 N 2.55-2.57
Nd  0.7500  0.2500  0.5000  6 N 2.54-2.79
U  0.2500  0.7500  0.5000  2 N 2.21
N  0.0293  0.5293  0.5000  1 U 2.21
N  0.2429  0.2429  0.0000  1 Ce 2.43, 2 U 2.54, 3 Nd 2.54-2.57
N  0.4707  0.9707  0.5000  1 U 2.21
N  0.7571  0.7571  0.0000  1 Ce 2.43, 3 Nd 2.54-2.57, 2 U 2.54

- space-group type = I-4m2
- uncorrected formation energy (eV/atom) = -1.407

---

[10]
A geometry-optimized Hf3Zr5Cd2 structure. Source: the Alexandria database, functional PBE-GGA.

a b c (Å): 3.1781 8.4865 8.8557
angles (deg): 104.92 90.00 100.69
With the nearest neighbours (Å) after each atom.
Fractional coordinates of all 10 atoms:
Hf  0.0000  0.0000  0.0000  6 Zr 3.14-3.18, 6 Hf 3.15-3.18
Hf  0.3979  0.7960  0.1949  6 Zr 3.11-3.23, 4 Hf 3.15-3.18, 2 Cd 3.21
Hf  0.6021  0.2040  0.8051  6 Zr 3.11-3.23, 4 Hf 3.15-3.18, 2 Cd 3.21
Zr  0.0000  0.0000  0.5000  6 Zr 3.10-3.18, 4 Hf 3.21, 2 Cd 3.25
Zr  0.1965  0.3952  0.0992  4 Hf 3.11-3.23, 6 Zr 3.18-3.21, 2 Cd 3.19
Zr  0.4065  0.8115  0.7005  6 Zr 3.10-3.20, 3 Hf 3.14-3.16, 3 Cd 3.20-3.28
Zr  0.5935  0.1885  0.2995  6 Zr 3.10-3.20, 3 Hf 3.14-3.16, 3 Cd 3.20-3.28
Zr  0.8035  0.6048  0.9008  4 Hf 3.11-3.23, 6 Zr 3.18-3.21, 2 Cd 3.19
Cd  0.2024  0.4043  0.5979  4 Cd 3.09-3.18, 6 Zr 3.19-3.28, 2 Hf 3.21
Cd  0.7976  0.5957  0.4021  4 Cd 3.09-3.18, 6 Zr 3.19-3.28, 2 Hf 3.21

- space-group type = P-1
- E_form (meV/atom) = -1

---

[11]
A geometry-optimized HfBeAl3 structure. Source: the Alexandria database, functional PBE-GGA.

a b c (Å): 4.3814 4.3814 4.3814
angles (deg): 90.00 90.00 90.00
With the nearest neighbours (Å) after each atom.
Fractional coordinates of all 5 atoms:
Hf  0.0000  0.0000  0.0000  12 Al 3.10
Be  0.5000  0.5000  0.5000  6 Al 2.19
Al  0.0000  0.5000  0.5000  2 Be 2.19
Al  0.5000  0.0000  0.5000  2 Be 2.19
Al  0.5000  0.5000  0.0000  2 Be 2.19

- space-group type = Pm-3m
- offset from the most stable computed form (kJ per mole of atoms) = 0.00
- E_form (meV/atom) = 363

---

[12]
A geometry-optimized SrNb2AsSe structure. Source: the Alexandria database, functional PBE-GGA.

a b c (Å): 4.8357 4.8357 5.8053
angles (deg): 90.00 90.00 90.00
With the nearest neighbours (Å) after each atom.
Fractional coordinates of all 5 atoms:
Sr  0.0000  0.0000  0.0000  4 Se 3.42, 8 Nb 3.78
Nb  0.0000  0.5000  0.5000  2 As 2.42
Nb  0.5000  0.0000  0.5000  2 As 2.42
As  0.5000  0.5000  0.5000  4 Nb 2.42
Se  0.5000  0.5000  0.0000  2 As 2.90

- space-group type = P4/mmm
- uncorrected formation energy (eV/atom) = 0.440

---

[13]
A geometry-optimized RbTi2TcCl structure. Source: the Alexandria database, functional PBE-GGA.

a b c (Å): 4.9959 4.9959 5.3502
angles (deg): 90.00 90.00 90.00
With the nearest neighbours (Å) after each atom.
Fractional coordinates of all 5 atoms:
Rb  0.0000  0.0000  0.0000  4 Ti 2.50, 2 Cl 2.68
Ti  0.0000  0.5000  0.0000  2 Rb 2.50
Ti  0.5000  0.0000  0.0000  2 Rb 2.50
Tc  0.5000  0.5000  0.5000  4 Cl 3.53, 8 Ti 3.66
Cl  0.0000  0.0000  0.5000  2 Rb 2.68

- space-group type = P4/mmm
- uncorrected formation energy (eV/atom) = 2.273

---

no.,Fermi-level density of states (states/eV/atom)
1,1.744
2,0.729
3,0.834
4,0.600
5,0.336
6,0.639
7,0.118
8,1.940
9,0.894
10,1.209
11,0.605
12,1.369
13,1.050